The following is a DFT calculation (GGA-PBE) of RbMgSnMo2 after structural relaxation.

a = 4.8742 Å, b = 4.8742 Å, c = 5.7285 Å
α = 90.00°, β = 90.00°, γ = 90.00°
With the nearest neighbours (Å) after each atom.
Space group P4/mmm (No. 123)
Unique sites:
1 Rb 0.0000 0.0000 0.0000  4 Mo 2.44
2 Mg 0.5000 0.5000 0.5000  4 Sn 3.45, 8 Mo 3.76
3 Sn 0.0000 0.0000 0.5000  2 Rb 2.86
4 Mo 0.0000 0.5000 0.0000  2 Rb 2.44

The value obtained for the formation energy is 2.70 eV per atom.